Computed, not measured: a relaxed structure of CsP2IO at the GGA-PBEsol level of DFT.

Unit cell a=5.4033 b=5.4033 c=4.2488 alpha=90.00 beta=90.00 gamma=90.00
Positions (direct):
Cs 0.0000 0.0000 0.0000
P 0.0000 0.5000 0.5000
P 0.5000 0.0000 0.5000
I 0.5000 0.5000 0.5000
O 0.5000 0.5000 0.0000

Properties
Space-group type: P4/mmm, No. 123
Magnetic moment (Bohr magnetons per cell): 2.002
Uncorrected formation energy (eV/atom): 0.589
D(E_F) (states/eV/atom): 0.6883
Theoretical density (g/cm3): 4.521